Entry from Alexandria via LeMat-Bulk: a geometry-optimized Pr12Sm7Th structure (GGA-PBE).

Calculated values
- crystal system = cubic
- energy above the most stable polymorph in this dataset (meV/atom) = 566
- E (eV/atom) = -4.235
- energy relative to the elements (eV per atom) = 0.656

a b c (Å): 10.1370 10.1370 10.1370
angles (deg): 109.47 109.47 109.47
Positions (direct):
Pr 0.0000 0.2422 0.7578
Pr 0.0000 0.7578 0.2422
Pr 0.2422 0.0000 0.7578
Pr 0.2422 0.2422 0.4843
Pr 0.2422 0.4843 0.2422
Pr 0.2422 0.7578 0.0000
Pr 0.4843 0.2422 0.2422
Pr 0.5157 0.7578 0.7578
Pr 0.7578 0.0000 0.2422
Pr 0.7578 0.2422 0.0000
Pr 0.7578 0.5157 0.7578
Pr 0.7578 0.7578 0.5157
Sm 0.0000 0.0000 0.5000
Sm 0.0000 0.5000 0.0000
Sm 0.0000 0.5000 0.5000
Sm 0.5000 0.0000 0.0000
Sm 0.5000 0.0000 0.5000
Sm 0.5000 0.5000 0.0000
Sm 0.5000 0.5000 0.5000
Th 0.0000 0.0000 0.0000